Below is a geometry-optimized K2ScHgF6 structure, with properties calculated at the PBE-GGA level.

Offset from the most stable computed form   0.0151 eV per atom
Formation energy (no corrections)   -2.83 eV per atom

CIF file:
```
data_K2ScHgF6
_space_group_name_H-M_alt 'P 1'
_space_group_IT_number 1
_cell_length_a 6.4738
_cell_length_b 6.4738
_cell_length_c 6.4738
_cell_angle_alpha 60.00
_cell_angle_beta 60.00
_cell_angle_gamma 60.00
loop_
_space_group_symop_operation_xyz
'x,y,z'
loop_
_atom_site_label
_atom_site_type_symbol
_atom_site_fract_x
_atom_site_fract_y
_atom_site_fract_z
K1 K 0.7500 0.7500 0.7500
K2 K 0.2500 0.2500 0.2500
Sc1 Sc 0.0000 0.0000 0.0000
Hg1 Hg 0.5000 0.5000 0.5000
F1 F 0.2215 0.7785 0.2215
F2 F 0.7785 0.2215 0.2215
F3 F 0.7785 0.2215 0.7785
F4 F 0.2215 0.2215 0.7785
F5 F 0.7785 0.7785 0.2215
F6 F 0.2215 0.7785 0.7785
```